Material: TaAu2Se
Method: DFT, GGA-PBE
State: optimized geometry

Properties
The value obtained for the total energy is -5.46 eV/atom.

Unit cell a=3.0969 b=4.4784 c=12.3907 alpha=90.00 beta=90.00 gamma=90.00
Space group Imm2 (No. 44)
Asymmetric unit:
Ta 0.0000 0.0000 0.0000
Au 0.0000 0.0000 0.5669
Au 0.0000 0.5000 0.7018
Se 0.0000 0.5000 0.3385